# 1
Computed, not measured: a relaxed structure of CsKSr2Tl at the PBE-GGA level of DFT.

Values from the calculation:
ΔE_f = -1 kJ/mol of atoms
energy above the most stable polymorph in this dataset = 0 meV/atom
magnetic moment = 0.000 μB/f.u.

Unit cell a=6.618 b=6.618 c=7.188 alpha=90.00 beta=90.00 gamma=90.00
Space group P4/mmm (No. 123)
Unique sites:
Cs: 0.000 0.000 0.000
K: 0.500 0.500 0.000
Sr: 0.000 0.500 0.500
Tl: 0.500 0.500 0.500

# 2
Computed, not measured: a relaxed structure of CsKSr2Tl at the PBE-GGA level of DFT.

Values from the calculation:
ΔE_f = 3 kJ/mol of atoms
energy above the most stable polymorph in this dataset = 40 meV/atom
magnetic moment = 0.000 μB/f.u.

Unit cell a=6.655 b=6.655 c=7.341 alpha=90.00 beta=90.00 gamma=90.00
Space group P4/mmm (No. 123)
Unique sites:
Cs: 0.000 0.000 0.000
K: 0.500 0.500 0.000
Sr: 0.000 0.500 0.500
Tl: 0.000 0.000 0.500

# 3
Computed, not measured: a relaxed structure of CsKSr2Zn at the PBE-GGA level of DFT.

Values from the calculation:
ΔE_f = 8 kJ/mol of atoms
energy above the most stable polymorph in this dataset = 0 meV/atom
magnetic moment = 0.000 μB/f.u.

Unit cell a=6.392 b=6.392 c=7.163 alpha=90.00 beta=90.00 gamma=90.00
Space group P4/mmm (No. 123)
Unique sites:
Cs: 0.000 0.000 0.000
K: 0.500 0.500 0.000
Sr: 0.000 0.500 0.500
Zn: 0.500 0.500 0.500

# 4
Computed, not measured: a relaxed structure of CsKSr2Zn at the PBE-GGA level of DFT.

Values from the calculation:
ΔE_f = 9 kJ/mol of atoms
energy above the most stable polymorph in this dataset = 13 meV/atom
magnetic moment = 0.000 μB/f.u.

Unit cell a=6.421 b=6.421 c=7.269 alpha=90.00 beta=90.00 gamma=90.00
Space group P4/mmm (No. 123)
Unique sites:
Cs: 0.000 0.000 0.000
K: 0.500 0.500 0.000
Sr: 0.000 0.500 0.500
Zn: 0.000 0.000 0.500

# 5
Computed, not measured: a relaxed structure of Cs3KTa at the PBE-GGA level of DFT.

Values from the calculation:
ΔE_f = 115 kJ/mol of atoms
energy above the most stable polymorph in this dataset = 0 meV/atom
magnetic moment = 5.005 μB/f.u.

Unit cell a=6.994 b=6.994 c=6.994 alpha=90.00 beta=90.00 gamma=90.00
Space group Pm-3m (No. 221)
Unique sites:
Cs: 0.000 0.000 0.500
K: 0.500 0.500 0.500
Ta: 0.000 0.000 0.000

# 6
Computed, not measured: a relaxed structure of Cs2KTa at the PBE-GGA level of DFT.

Values from the calculation:
ΔE_f = 141 kJ/mol of atoms
magnetic moment = 5.494 μB/f.u.

Unit cell a=9.201 b=9.201 c=9.201 alpha=90.00 beta=90.00 gamma=90.00
Space group Fm-3m (No. 225)
Unique sites:
Cs: 0.250 0.250 0.250
K: 0.000 0.000 0.000
Ta: 0.000 0.000 0.500

# 7
Computed, not measured: a relaxed structure of Cs3KTa at the PBE-GGA level of DFT.

Values from the calculation:
ΔE_f = 152 kJ/mol of atoms
energy above the most stable polymorph in this dataset = 382 meV/atom
magnetic moment = 4.855 μB/f.u.

Unit cell a=7.716 b=7.716 c=7.716 alpha=90.00 beta=90.00 gamma=90.00
Space group Pm-3m (No. 221)
Unique sites:
Cs: 0.000 0.000 0.500
K: 0.000 0.000 0.000
Ta: 0.500 0.500 0.500

# 8
Computed, not measured: a relaxed structure of Cs2KTaTe4 at the PBE-GGA level of DFT.

Values from the calculation:
uncorrected formation energy = -731 meV per atom
magnetic moment = 0.000 μB/f.u.

Unit cell a=7.880 b=15.037 c=28.667 alpha=90.00 beta=90.00 gamma=90.00
Space group Fddd (No. 70, origin choice 2)
Unique sites:
Cs: 0.125 0.125 0.312
K: 0.125 0.125 0.125
Ta: 0.125 0.125 0.625
Te: 0.058 0.271 0.821

# 9
Computed, not measured: a relaxed structure of CsKTc2 at the PBE-GGA level of DFT.

Values from the calculation:
ΔE_f = 221 kJ/mol of atoms
magnetic moment = 7.938 μB/f.u.

Unit cell a=8.299 b=8.299 c=8.299 alpha=90.00 beta=90.00 gamma=90.00
Space group Fm-3m (No. 225)
Unique sites:
Cs: 0.000 0.000 0.000
K: 0.000 0.000 0.500
Tc: 0.250 0.250 0.250

# 10
Computed, not measured: a relaxed structure of CsK3Tc at the PBE-GGA level of DFT.

Values from the calculation:
ΔE_f = 148 kJ/mol of atoms
energy above the most stable polymorph in this dataset = 501 meV/atom
magnetic moment = 3.482 μB/f.u.

Unit cell a=7.590 b=7.590 c=7.590 alpha=90.00 beta=90.00 gamma=90.00
Space group Pm-3m (No. 221)
Unique sites:
Cs: 0.000 0.000 0.000
K: 0.000 0.000 0.500
Tc: 0.500 0.500 0.500

# 11
Computed, not measured: a relaxed structure of CsK3Tc at the PBE-GGA level of DFT.

Values from the calculation:
ΔE_f = 100 kJ/mol of atoms
energy above the most stable polymorph in this dataset = 0 meV/atom
magnetic moment = 3.018 μB/f.u.

Unit cell a=6.433 b=6.433 c=6.433 alpha=90.00 beta=90.00 gamma=90.00
Space group Pm-3m (No. 221)
Unique sites:
Cs: 0.000 0.000 0.000
K: 0.000 0.500 0.500
Tc: 0.500 0.500 0.500

# 12
Computed, not measured: a relaxed structure of Cs3KTc at the PBE-GGA level of DFT.

Values from the calculation:
ΔE_f = 109 kJ/mol of atoms
magnetic moment = 0.001 μB/f.u.

Unit cell a=6.453 b=6.453 c=6.453 alpha=90.00 beta=90.00 gamma=90.00
Space group Pm-3m (No. 221)
Unique sites:
Cs: 0.000 0.000 0.500
K: 0.500 0.500 0.500
Tc: 0.000 0.000 0.000

# 13
Computed, not measured: a relaxed structure of Cs2KTcTe at the PBE-GGA level of DFT.

Values from the calculation:
uncorrected formation energy = 871 meV per atom
magnetic moment = 4.006 μB/f.u.

Unit cell a=7.387 b=7.387 c=6.008 alpha=90.00 beta=90.00 gamma=90.00
Space group P4/mmm (No. 123)
Unique sites:
Cs: 0.000 0.500 0.000
K: 0.000 0.000 0.000
Tc: 0.500 0.500 0.500
Te: 0.000 0.000 0.500

# 14
Computed, not measured: a relaxed structure of CsKZnTc at the PBE-GGA level of DFT.

Values from the calculation:
ΔE_f = 71 kJ/mol of atoms
magnetic moment = 1.820 μB/f.u.

Unit cell a=3.628 b=3.726 c=10.565 alpha=89.65 beta=88.55 gamma=90.00
Space group P1 (No. 1)
Unique sites:
Cs: 0.000 0.000 0.000
K: 0.452 0.491 0.561
Zn: 0.469 0.998 0.295
Tc: 0.970 0.498 0.281

# 15
Computed, not measured: a relaxed structure of CsK2Te2 at the PBE-GGA level of DFT.

Values from the calculation:
energy above the most stable polymorph in this dataset = 20 meV/atom
uncorrected formation energy = -904 meV per atom
magnetic moment = 0.000 μB/f.u.

Unit cell a=10.187 b=10.187 c=3.859 alpha=90.00 beta=90.00 gamma=90.00
Space group P4/mbm (No. 127)
Unique sites:
Cs: 0.000 0.000 0.000
K: 0.122 0.378 0.000
Te: 0.175 0.675 0.500

# 16
Computed, not measured: a relaxed structure of Cs2KTe6 at the PBE-GGA level of DFT.

Values from the calculation:
energy above the most stable polymorph in this dataset = 34 meV/atom
uncorrected formation energy = -518 meV per atom
magnetic moment = 0.000 μB/f.u.

Unit cell a=11.955 b=15.856 c=4.470 alpha=90.00 beta=90.00 gamma=90.00
Space group Imm2 (No. 44)
Unique sites:
Cs: 0.000 0.142 0.000
K: 0.000 0.500 0.006
Te: 0.207 0.000 0.499
Te: 0.232 0.321 0.000

# 17
Computed, not measured: a relaxed structure of CsKTe3 at the PBE-GGA level of DFT.

Values from the calculation:
energy above the most stable polymorph in this dataset = 717 meV/atom
uncorrected formation energy = 30 meV per atom
magnetic moment = 0.000 μB/f.u.

Unit cell a=6.265 b=6.265 c=6.265 alpha=90.00 beta=90.00 gamma=90.00
Space group Pm-3m (No. 221)
Unique sites:
Cs: 0.000 0.000 0.000
K: 0.500 0.500 0.500
Te: 0.000 0.500 0.500

# 18
Computed, not measured: a relaxed structure of CsK2Te4 at the PBE-GGA level of DFT.

Values from the calculation:
uncorrected formation energy = -719 meV per atom
magnetic moment = 0.000 μB/f.u.

Unit cell a=19.175 b=6.724 c=10.133 alpha=90.00 beta=104.95 gamma=90.00
Space group C2/c (No. 15)
Unique sites:
Cs: 0.000 0.249 0.250
K: 0.214 0.002 0.605
Te: 0.116 0.257 0.807
Te: 0.132 0.500 0.065

# 19
Computed, not measured: a relaxed structure of Cs3KTe6 at the PBE-GGA level of DFT.

Values from the calculation:
uncorrected formation energy = -660 meV per atom
magnetic moment = 0.000 μB/f.u.

Unit cell a=15.6632 b=15.6632 c=13.9445 alpha=90.00 beta=90.00 gamma=120.00
Space group R-3c (No. 167, hexagonal axes)
Unique sites:
Cs: 0.0000 0.4310 0.2500
K: 0.0000 0.0000 0.0000
Te: 0.0771 0.2387 0.3261

# 20
Computed, not measured: a relaxed structure of CsK2Te2 at the PBE-GGA level of DFT.

Values from the calculation:
energy above the most stable polymorph in this dataset = 0 meV/atom
uncorrected formation energy = -924 meV per atom
magnetic moment = 0.000 μB/f.u.

Unit cell a=5.803 b=5.858 c=14.323 alpha=90.00 beta=98.28 gamma=90.00
Space group P2_1/m (No. 11)
Unique sites:
Cs: 0.177 0.250 0.269
K: 0.249 0.750 0.500
K: 0.372 0.250 0.881
Te: 0.074 0.750 0.991
Te: 0.300 0.250 0.639